The following is a DFT calculation (GGA-PBE) of crystalline CsPtAuSeS2 at its relaxed geometry.

Lattice parameters (Å, degrees): 8.7479 8.7479 10.3611 90.00 90.00 155.75
Closest atoms and distances in Å follow each position.
Sites, in units of the cell vectors:
1 Pt 0.5000 0.5000 0.5000  4 S 2.42, 2 Se 2.70
2 Cs 0.2235 0.7765 0.2500  2 Se 3.56, 2 Au 3.57, 2 S 3.64, 2 Cs 3.67
3 S 0.0908 0.9092 0.5250  1 Au 2.33, 2 Pt 2.42
4 Au 0.9021 0.0979 0.2500  2 S 2.33
5 S 0.0908 0.9092 0.9750  1 Au 2.33, 2 Pt 2.42
6 Au 0.0979 0.9021 0.7500  2 S 2.33
7 Se 0.5454 0.4546 0.2500  2 Pt 2.70
8 S 0.9092 0.0908 0.4750  1 Au 2.33, 2 Pt 2.42
9 Pt 0.5000 0.5000 0.0000  4 S 2.42, 2 Se 2.70
10 Cs 0.7765 0.2235 0.7500  2 Se 3.56, 2 Au 3.57, 2 S 3.64, 2 Cs 3.67
11 S 0.9092 0.0908 0.0250  1 Au 2.33, 2 Pt 2.42
12 Se 0.4546 0.5454 0.7500  2 Pt 2.70

Summary:
Space group   Cmcm
Raw total energy   -48.32 eV for the cell shown
Calculated volume   162.8 Å³/f.u.